1.
A relaxed CaMoP3 crystal. Source: the Alexandria database, functional GGA-PBE.

```
data_CaMoP3
_space_group_name_H-M_alt 'P 1'
_space_group_IT_number 1
_cell_length_a 4.737
_cell_length_b 4.737
_cell_length_c 4.737
_cell_angle_alpha 90.00
_cell_angle_beta 90.00
_cell_angle_gamma 90.00
loop_
_space_group_symop_operation_xyz
'x,y,z'
loop_
_atom_site_label
_atom_site_fract_x
_atom_site_fract_y
_atom_site_fract_z
_atom_site_occupancy
Mo1 0.000 0.000 0.000 1
P1 0.000 0.500 0.000 1
Ca1 0.500 0.500 0.500 1
P2 0.500 0.000 0.000 1
P3 0.000 0.000 0.500 1
```

theoretical density = 3.577 g/cm3
final energy = -5.973 eV/atom
formation energy = -15.50 kJ/mol of atoms



2.
A relaxed CaMo3P crystal. Source: the Alexandria database, functional GGA-PBE.

```
data_CaMo3P
_space_group_name_H-M_alt 'P 1'
_space_group_IT_number 1
_cell_length_a 4.636
_cell_length_b 4.636
_cell_length_c 4.636
_cell_angle_alpha 90.00
_cell_angle_beta 90.00
_cell_angle_gamma 90.00
loop_
_space_group_symop_operation_xyz
'x,y,z'
loop_
_atom_site_label
_atom_site_fract_x
_atom_site_fract_y
_atom_site_fract_z
_atom_site_occupancy
Mo1 0.000 0.000 0.500 1
Ca1 0.000 0.000 0.000 1
Mo2 0.000 0.500 0.000 1
Mo3 0.500 0.000 0.000 1
P1 0.500 0.500 0.500 1
```

theoretical density = 5.982 g/cm3
final energy = -5.139 eV/atom
formation energy = 274.22 kJ/mol of atoms



3.
A relaxed CaMo2P crystal. Source: the Alexandria database, functional GGA-PBE.

```
data_CaMo2P
_space_group_name_H-M_alt 'P 1'
_space_group_IT_number 1
_cell_length_a 5.167
_cell_length_b 5.167
_cell_length_c 5.167
_cell_angle_alpha 140.99
_cell_angle_beta 125.69
_cell_angle_gamma 68.87
loop_
_space_group_symop_operation_xyz
'x,y,z'
loop_
_atom_site_label
_atom_site_fract_x
_atom_site_fract_y
_atom_site_fract_z
_atom_site_occupancy
Mo1 0.979 0.979 0.000 1
P1 0.523 0.523 0.000 1
Ca1 0.254 0.754 0.500 1
Mo2 0.744 0.244 0.500 1
```

theoretical density = 6.295 g/cm3
final energy = -6.919 eV/atom
formation energy = 33.67 kJ/mol of atoms



4.
A relaxed CaMo2P crystal. Source: the Alexandria database, functional GGA-PBE.

```
data_CaMo2P
_space_group_name_H-M_alt 'P 1'
_space_group_IT_number 1
_cell_length_a 4.531
_cell_length_b 4.531
_cell_length_c 4.531
_cell_angle_alpha 60.00
_cell_angle_beta 60.00
_cell_angle_gamma 60.00
loop_
_space_group_symop_operation_xyz
'x,y,z'
loop_
_atom_site_label
_atom_site_fract_x
_atom_site_fract_y
_atom_site_fract_z
_atom_site_occupancy
Ca1 0.500 0.500 0.500 1
Mo1 0.250 0.250 0.250 1
P1 0.750 0.750 0.750 1
Mo2 0.000 0.000 0.000 1
```

theoretical density = 6.639 g/cm3
final energy = -7.019 eV/atom
formation energy = 24.05 kJ/mol of atoms



5.
A relaxed CaMo2P crystal. Source: the Alexandria database, functional GGA-PBE.

```
data_CaMo2P
_space_group_name_H-M_alt 'P 1'
_space_group_IT_number 1
_cell_length_a 5.048
_cell_length_b 5.048
_cell_length_c 5.038
_cell_angle_alpha 75.87
_cell_angle_beta 75.87
_cell_angle_gamma 37.30
loop_
_space_group_symop_operation_xyz
'x,y,z'
loop_
_atom_site_label
_atom_site_fract_x
_atom_site_fract_y
_atom_site_fract_z
_atom_site_occupancy
Ca1 0.250 0.250 0.250 1
P1 0.750 0.750 0.750 1
Mo1 0.465 0.465 0.593 1
Mo2 0.035 0.035 0.907 1
```

theoretical density = 5.808 g/cm3
final energy = -7.114 eV/atom
formation energy = 14.86 kJ/mol of atoms



6.
A relaxed CaMoP2 crystal. Source: the Alexandria database, functional GGA-PBE.

```
data_CaMoP2
_space_group_name_H-M_alt 'P 1'
_space_group_IT_number 1
_cell_length_a 5.952
_cell_length_b 5.952
_cell_length_c 7.220
_cell_angle_alpha 65.66
_cell_angle_beta 65.66
_cell_angle_gamma 90.00
loop_
_space_group_symop_operation_xyz
'x,y,z'
loop_
_atom_site_label
_atom_site_fract_x
_atom_site_fract_y
_atom_site_fract_z
_atom_site_occupancy
P1 0.875 0.956 0.750 1
Mo1 0.750 0.250 0.500 1
Ca1 0.250 0.750 0.500 1
P2 0.044 0.625 0.250 1
Ca2 0.500 0.500 0.000 1
P3 0.706 0.125 0.250 1
P4 0.375 0.294 0.750 1
Mo2 0.000 0.000 0.000 1
```

theoretical density = 3.164 g/cm3
final energy = -6.229 eV/atom
formation energy = -30.44 kJ/mol of atoms



7.
A relaxed CaMo2P crystal. Source: the Alexandria database, functional GGA-PBE.

```
data_CaMo2P
_space_group_name_H-M_alt 'P 1'
_space_group_IT_number 1
_cell_length_a 4.427
_cell_length_b 4.427
_cell_length_c 6.117
_cell_angle_alpha 78.64
_cell_angle_beta 78.64
_cell_angle_gamma 43.70
loop_
_space_group_symop_operation_xyz
'x,y,z'
loop_
_atom_site_label
_atom_site_fract_x
_atom_site_fract_y
_atom_site_fract_z
_atom_site_occupancy
Mo1 0.759 0.759 0.741 1
Ca1 0.231 0.231 0.275 1
Mo2 0.017 0.017 0.895 1
P1 0.493 0.493 0.589 1
```

theoretical density = 5.393 g/cm3
final energy = -7.250 eV/atom
formation energy = 1.75 kJ/mol of atoms



8.
A relaxed CaMoP2 crystal. Source: the Alexandria database, functional GGA-PBE.

```
data_CaMoP2
_space_group_name_H-M_alt 'P 1'
_space_group_IT_number 1
_cell_length_a 3.338
_cell_length_b 3.338
_cell_length_c 6.655
_cell_angle_alpha 90.00
_cell_angle_beta 90.00
_cell_angle_gamma 90.00
loop_
_space_group_symop_operation_xyz
'x,y,z'
loop_
_atom_site_label
_atom_site_fract_x
_atom_site_fract_y
_atom_site_fract_z
_atom_site_occupancy
Mo1 0.500 0.500 0.856 1
P1 0.000 0.000 0.948 1
Ca1 0.000 0.000 0.476 1
P2 0.500 0.500 0.220 1
```

theoretical density = 4.432 g/cm3
final energy = -6.146 eV/atom
formation energy = -22.48 kJ/mol of atoms



9.
A relaxed CaMoP2 crystal. Source: the Alexandria database, functional GGA-PBE.

```
data_CaMoP2
_space_group_name_H-M_alt 'P 1'
_space_group_IT_number 1
_cell_length_a 8.472
_cell_length_b 8.472
_cell_length_c 8.472
_cell_angle_alpha 21.55
_cell_angle_beta 21.55
_cell_angle_gamma 21.55
loop_
_space_group_symop_operation_xyz
'x,y,z'
loop_
_atom_site_label
_atom_site_fract_x
_atom_site_fract_y
_atom_site_fract_z
_atom_site_occupancy
P1 0.264 0.264 0.264 1
Mo1 0.733 0.733 0.733 1
Ca1 0.503 0.503 0.503 1
P2 0.000 0.000 0.000 1
```

theoretical density = 4.572 g/cm3
final energy = -5.702 eV/atom
formation energy = 20.36 kJ/mol of atoms



10.
A relaxed CaMoP2 crystal. Source: the Alexandria database, functional GGA-PBE.

```
data_CaMoP2
_space_group_name_H-M_alt 'P 1'
_space_group_IT_number 1
_cell_length_a 5.557
_cell_length_b 5.557
_cell_length_c 5.557
_cell_angle_alpha 139.84
_cell_angle_beta 139.84
_cell_angle_gamma 58.10
loop_
_space_group_symop_operation_xyz
'x,y,z'
loop_
_atom_site_label
_atom_site_fract_x
_atom_site_fract_y
_atom_site_fract_z
_atom_site_occupancy
Ca1 0.500 0.500 0.000 1
Mo1 0.750 0.250 0.500 1
P1 0.250 0.750 0.500 1
P2 0.000 0.000 0.000 1
```

theoretical density = 4.647 g/cm3
final energy = -5.834 eV/atom
formation energy = 7.63 kJ/mol of atoms



11.
A relaxed CaMo2P crystal. Source: the Alexandria database, functional GGA-PBE.

```
data_CaMo2P
_space_group_name_H-M_alt 'P 1'
_space_group_IT_number 1
_cell_length_a 5.857
_cell_length_b 5.857
_cell_length_c 5.857
_cell_angle_alpha 151.71
_cell_angle_beta 131.17
_cell_angle_gamma 57.39
loop_
_space_group_symop_operation_xyz
'x,y,z'
loop_
_atom_site_label
_atom_site_fract_x
_atom_site_fract_y
_atom_site_fract_z
_atom_site_occupancy
Mo1 0.553 0.553 0.000 1
Ca1 0.250 0.750 0.500 1
Mo2 0.947 0.947 0.000 1
P1 0.750 0.250 0.500 1
```

theoretical density = 6.131 g/cm3
final energy = -7.133 eV/atom
formation energy = 13.11 kJ/mol of atoms



12.
A relaxed CaMoP3 crystal. Source: the Alexandria database, functional GGA-PBE.

```
data_CaMoP3
_space_group_name_H-M_alt 'P 1'
_space_group_IT_number 1
_cell_length_a 4.880
_cell_length_b 4.880
_cell_length_c 4.880
_cell_angle_alpha 90.00
_cell_angle_beta 90.00
_cell_angle_gamma 90.00
loop_
_space_group_symop_operation_xyz
'x,y,z'
loop_
_atom_site_label
_atom_site_fract_x
_atom_site_fract_y
_atom_site_fract_z
_atom_site_occupancy
P1 0.000 0.500 0.000 1
P2 0.500 0.000 0.000 1
Mo1 0.500 0.500 0.500 1
Ca1 0.000 0.000 0.000 1
P3 0.000 0.000 0.500 1
```

theoretical density = 3.272 g/cm3
final energy = -3.956 eV/atom
formation energy = 179.08 kJ/mol of atoms